{"formula": "NdTl2Cd3F12", "functional": "PBE", "state": "optimized geometry", "cell": [[4.157, 2.400, 7.055], [-4.157, 2.400, 7.055], [0.000, -4.800, 7.055]], "species": ["Nd", "Tl", "Tl", "Cd", "Cd", "Cd", "F", "F", "F", "F", "F", "F", "F", "F", "F", "F", "F", "F"], "frac_coords": [[0.000, 0.000, 0.000], [0.286, 0.286, 0.286], [0.714, 0.714, 0.714], [0.000, 0.000, 0.500], [0.000, 0.500, 0.000], [0.500, 0.000, 0.000], [0.032, 0.681, 0.681], [0.069, 0.069, 0.676], [0.069, 0.676, 0.069], [0.319, 0.319, 0.968], [0.319, 0.968, 0.319], [0.324, 0.931, 0.931], [0.676, 0.069, 0.069], [0.681, 0.032, 0.681], [0.681, 0.681, 0.032], [0.931, 0.324, 0.931], [0.931, 0.931, 0.324], [0.968, 0.319, 0.319]], "dos_ef_per_ev_atom": 0.406, "formation_energy_uncorrected_ev_per_atom": -2.390}